The following is a PBE calculation of a relaxed SiNiH2Cl crystal, from Alexandria via LeMat-Bulk.

## Properties
DFT total energy: -3.446 eV/atom
SG: No. 123

extended XYZ file:
```
5
Lattice="3.2174 0.0000 0.0000 0.0000 3.2174 0.0000 0.0000 0.0000 7.5717" Properties=species:S:1:pos:R:3 pbc="T T T"
H 1.6087 0.0000 0.0000
Cl 0.0000 0.0000 0.0000
Si 1.6087 1.6087 3.7859
Ni 0.0000 0.0000 3.7859
H 0.0000 1.6087 0.0000
```

---

The following is a PBE calculation of a relaxed TaNi2HCl crystal, from Alexandria via LeMat-Bulk.

## Properties
Energy above the lowest structure with this stoichiometry: 0.0 meV per atom
SG: No. 123

extended XYZ file:
```
5
Lattice="3.6019 0.0000 0.0000 0.0000 4.5068 0.0000 0.0000 0.0000 3.6019" Properties=species:S:1:pos:R:3 pbc="T T T"
Ta 0.0000 2.2534 0.0000
H 0.0000 0.0000 0.0000
Ni 0.0000 0.0000 1.8009
Cl 1.8009 2.2534 1.8009
Ni 1.8009 0.0000 0.0000
```